Entry 1:
Entry from Alexandria via LeMat-Bulk: a crystal of Ta4CoRu relaxed with PBEsol (SCAN).

Spin magnetization = 0.0 μB/cell
Formation energy from the elements = 347.5 kJ/mol of formula units

Cell lengths 7.373, 7.373, 7.373 Å; angles 90.00, 90.00, 90.00 degrees
Space group F-43m (No. 216)
Inequivalent atoms, fractional coordinates:
Ta: 0.125 0.125 0.125 x16
Co: 0.000 0.000 0.500 x4
Ru: 0.250 0.250 0.750 x4

Entry 2:
Entry from Alexandria via LeMat-Bulk: a crystal of Ta3CoRu relaxed with PBEsol (SCAN).

Spin magnetization = 0.0 μB/cell
Formation energy from the elements = 426.8 kJ/mol of formula units

Cell lengths 4.457, 4.457, 4.457 Å; angles 90.00, 90.00, 90.00 degrees
Space group Pm-3m (No. 221)
Inequivalent atoms, fractional coordinates:
Ta: 0.000 0.000 0.500 x3
Co: 0.000 0.000 0.000 x1
Ru: 0.500 0.500 0.500 x1

Entry 3:
Entry from Alexandria via LeMat-Bulk: a crystal of Co2TcRu relaxed with PBEsol (SCAN).

Spin magnetization = 3.8 μB/cell
Formation energy from the elements = 68.1 kJ/mol of formula units

Cell lengths 2.891, 2.891, 5.790 Å; angles 90.00, 90.00, 90.00 degrees
Space group P4mm (No. 99)
Inequivalent atoms, fractional coordinates:
Co: 0.000 0.000 0.000 x1
Co: 0.500 0.500 0.177 x1
Tc: 0.500 0.500 0.731 x1
Ru: 0.000 0.000 0.449 x1

Entry 4:
Entry from Alexandria via LeMat-Bulk: a crystal of Co4TcRu relaxed with PBEsol (SCAN).

Spin magnetization = 28.7 μB/cell
Formation energy from the elements = 92.7 kJ/mol of formula units

Cell lengths 6.431, 6.431, 6.431 Å; angles 90.00, 90.00, 90.00 degrees
Space group F-43m (No. 216)
Inequivalent atoms, fractional coordinates:
Co: 0.125 0.125 0.125 x16
Tc: 0.250 0.250 0.750 x4
Ru: 0.000 0.000 0.500 x4

Entry 5:
Entry from Alexandria via LeMat-Bulk: a crystal of CoTe2Ru relaxed with PBEsol (SCAN).

Spin magnetization = 3.9 μB/cell
Formation energy (no corrections) = 0.224 eV/atom

Cell lengths 3.181, 3.668, 13.823 Å; angles 90.00, 90.00, 90.00 degrees
Space group Imm2 (No. 44)
Inequivalent atoms, fractional coordinates:
Co: 0.000 0.000 0.000 x2
Te: 0.000 0.000 0.556 x2
Te: 0.000 0.500 0.293 x2
Ru: 0.000 0.500 0.884 x2

Entry 6:
Entry from Alexandria via LeMat-Bulk: a crystal of Co2TeRu relaxed with PBEsol (SCAN).

Spin magnetization = 3.6 μB/cell
Formation energy (no corrections) = 0.350 eV/atom

Cell lengths 3.167, 3.167, 5.505 Å; angles 90.00, 90.00, 90.00 degrees
Space group P4mm (No. 99)
Inequivalent atoms, fractional coordinates:
Co: 0.000 0.000 0.000 x1
Co: 0.500 0.500 0.193 x1
Te: 0.500 0.500 0.729 x1
Ru: 0.000 0.000 0.454 x1

Entry 7:
Entry from Alexandria via LeMat-Bulk: a crystal of Co2TeRu relaxed with PBEsol (SCAN).

Spin magnetization = 4.8 μB/cell
Formation energy (no corrections) = 0.299 eV/atom

Cell lengths 3.810, 3.810, 7.260 Å; angles 90.00, 90.00, 90.00 degrees
Space group I-4m2 (No. 119)
Inequivalent atoms, fractional coordinates:
Co: 0.000 0.000 0.000 x2
Co: 0.000 0.500 0.250 x2
Te: 0.000 0.500 0.750 x2
Ru: 0.000 0.000 0.500 x2

Entry 8:
Entry from Alexandria via LeMat-Bulk: a crystal of Co3TeRu relaxed with PBEsol (SCAN).

Spin magnetization = 0.0 μB/cell
Formation energy (no corrections) = 1.570 eV/atom

Cell lengths 4.362, 4.362, 4.362 Å; angles 90.00, 90.00, 90.00 degrees
Space group Pm-3m (No. 221)
Inequivalent atoms, fractional coordinates:
Co: 0.000 0.000 0.500 x3
Te: 0.500 0.500 0.500 x1
Ru: 0.000 0.000 0.000 x1

What Fermi-level density of states values result from the calculations? In sequence: 1.031, 1.119, 0.745, 0.841, 0.627, 0.727, 0.697, 1.385 states/eV per atom.
What electronic total energy values result from the calculations? In sequence: -52.48, -49.49, -25.95, -23.02, -31.43, -26.32, -26.37, -23.23 eV/atom.